Record 1
Density functional theory data (GGA-PBEsol) for an optimized crystal structure of Co2TcIF.

```
Co2TcIF
1.0
4.278 0.000 0.000
0.000 4.541 0.000
0.000 0.000 4.541
Co I Tc F
2 1 1 1
direct
0.000 0.500 0.000 Co
0.000 0.000 0.500 Co
0.000 0.000 0.000 I
0.500 0.500 0.500 Tc
0.500 0.000 0.000 F
```

Calculated values
E	-4.74	eV per atom
uncorrected formation energy	1.345	eV per atom
DOS(E_F)	5.4	states/eV/f.u.

Record 2
Density functional theory data (GGA-PBEsol) for an optimized crystal structure of K3ZrF.

```
K3ZrF
1.0
-2.443 5.941 1.706
-4.503 -0.454 -4.868
-4.234 -2.945 4.191
Zr F K
1 1 3
direct
0.000 0.000 0.000 Zr
0.500 0.500 0.500 F
0.000 0.500 0.000 K
0.000 0.000 0.500 K
0.500 0.000 0.000 K
```

Calculated values
E	-2.27	eV per atom
uncorrected formation energy	0.610	eV per atom
DOS(E_F)	12.1	states/eV/f.u.

Record 3
Density functional theory data (GGA-PBEsol) for an optimized crystal structure of Zr5Tl3.

```
Zr5Tl3
1.0
5.563 0.000 0.000
2.781 7.971 0.000
2.781 0.000 7.971
Zr Tl
10 6
direct
0.225 0.853 0.697 Zr
0.275 0.303 0.147 Zr
0.078 0.697 0.147 Zr
0.775 0.147 0.303 Zr
0.250 0.500 0.500 Zr
0.725 0.697 0.853 Zr
0.750 0.500 0.500 Zr
0.422 0.853 0.303 Zr
0.922 0.303 0.853 Zr
0.578 0.147 0.697 Zr
0.334 0.500 0.831 Tl
0.666 0.500 0.169 Tl
0.250 0.000 0.000 Tl
0.166 0.169 0.500 Tl
0.834 0.831 0.500 Tl
0.750 0.000 0.000 Tl
```

Calculated values
polymorph energy (0 for the lowest one)	0	meV/atom
E	-6.83	eV per atom
DOS(E_F)	9.6	states/eV/f.u.

Record 4
Density functional theory data (GGA-PBEsol) for an optimized crystal structure of LiAl.

```
LiAl
1.0
2.780 0.000 0.000
0.000 2.780 0.000
0.000 0.000 4.145
Li Al
1 1
direct
0.500 0.500 0.500 Li
0.000 0.000 0.000 Al
```

Calculated values
E	-3.13	eV per atom
DOS(E_F)	0.7	states/eV/f.u.

Record 5
Density functional theory data (GGA-PBEsol) for an optimized crystal structure of YInPt2.

```
YInPt2
1.0
-3.499 -1.439 2.482
4.221 -1.135 1.169
0.568 7.285 5.024
Y Pt In
2 4 2
direct
0.333 0.667 0.250 Y
0.667 0.333 0.750 Y
0.667 0.333 0.091 Pt
0.333 0.667 0.591 Pt
0.333 0.667 0.909 Pt
0.667 0.333 0.409 Pt
0.000 0.000 0.500 In
0.000 0.000 0.000 In
```

Calculated values
E	-6.89	eV per atom
DOS(E_F)	2.2	states/eV/f.u.

Record 6
Density functional theory data (GGA-PBEsol) for an optimized crystal structure of LaTe2SN.

```
LaTe2SN
1.0
-0.870 -3.661 -1.379
0.005 -2.192 5.817
-6.069 1.261 0.480
Te N S La
2 1 1 1
direct
0.000 0.000 0.500 Te
0.000 0.500 0.000 Te
0.500 0.000 0.000 N
0.500 0.500 0.500 S
0.000 0.000 0.000 La
```

Calculated values
E	-4.41	eV per atom
uncorrected formation energy	0.655	eV per atom
DOS(E_F)	4.7	states/eV/f.u.